Record 1
ZnHgMo4, relaxed, DFT GGA-PBEsol; mass density = 10.80 g cm⁻³; calculated formation energy = 604 meV/atom
1.0
5.209 0.000 0.000
2.604 4.511 0.000
2.604 1.504 4.253
Hg Mo Zn
1 4 1
Direct
0.000 0.000 0.000
0.375 0.375 0.375
0.375 0.375 0.875
0.875 0.375 0.375
0.375 0.875 0.375
0.750 0.750 0.750

=====

Record 2
Zn2HgMo, relaxed, DFT GGA-PBEsol; mass density = 11.32 g cm⁻³; calculated formation energy = 294 meV/atom
1.0
2.777 0.000 0.000
0.000 3.426 0.000
0.000 0.000 6.591
Hg Mo Zn
1 1 2
Direct
0.000 0.000 0.488
0.500 0.500 0.785
0.000 0.000 0.012
0.500 0.500 0.215

=====

Record 3
Zr2HgMo, relaxed, DFT GGA-PBEsol; mass density = 10.36 g cm⁻³; calculated formation energy = 42 meV/atom
1.0
-0.011 4.034 -1.030
-3.811 0.405 1.627
3.695 -1.212 3.629
Hg Mo Zr
1 1 2
Direct
0.500 0.500 0.000
0.250 0.750 0.500
0.000 0.000 0.000
0.750 0.250 0.500

=====

Record 4
ZrHg3Mo, relaxed, DFT GGA-PBEsol; mass density = 10.20 g cm⁻³; calculated formation energy = 1132 meV/atom
1.0
-4.251 -2.653 -0.581
-0.105 -0.917 4.960
-2.714 4.192 0.717
Mo Hg Zr
1 3 1
Direct
0.000 0.000 0.000
0.000 0.500 0.000
0.000 0.000 0.500
0.500 0.000 0.000
0.500 0.500 0.500

=====

Record 5
ZrHg2Mo, relaxed, DFT GGA-PBEsol; mass density = 12.91 g cm⁻³; calculated formation energy = 208 meV/atom; excess energy over the best structure of this formula in the dataset = 4.5 kJ/mol of atoms
1.0
-3.381 -0.176 1.236
-0.610 -2.881 -2.079
1.761 -3.489 4.318
Hg Mo Zr
2 1 1
Direct
0.000 0.000 0.759
0.000 0.000 0.241
0.500 0.500 0.000
0.500 0.500 0.500

=====

Record 6
Zr2HgMo, relaxed, DFT GGA-PBEsol; mass density = 10.25 g cm⁻³; calculated formation energy = -208 meV/atom
1.0
-1.985 1.053 2.565
0.958 -2.700 1.850
5.093 3.519 2.498
Mo Hg Zr
1 1 2
Direct
0.500 0.500 0.500
0.500 0.500 0.000
0.000 0.000 0.727
0.000 0.000 0.273